Record 1
VASP calculation (PBE) on a geometry-optimized TaCd2Sn structure.

Lattice parameters (Å, degrees): 6.3409 6.3409 6.3409 101.58 101.58 126.78
Closest atoms and distances in Å follow each position.
Positions (direct):
Ta: 0.0000 0.0000 0.0000  2 Sn 2.84, 4 Cd 2.91
Ta: 0.7500 0.2500 0.5000  2 Sn 2.84, 4 Cd 2.91
Cd: 0.1220 0.6250 0.9970  2 Cd 2.84, 2 Ta 2.91, 2 Sn 2.94
Cd: 0.3750 0.3720 0.4970  2 Cd 2.84, 2 Ta 2.91, 2 Sn 2.94
Cd: 0.6280 0.1250 0.0030  2 Cd 2.84, 2 Ta 2.91, 2 Sn 2.94
Cd: 0.8750 0.8780 0.5030  2 Cd 2.84, 2 Ta 2.91, 2 Sn 2.94
Sn: 0.2500 0.7500 0.5000  2 Ta 2.84, 4 Cd 2.94
Sn: 0.5000 0.5000 0.0000  2 Ta 2.84, 4 Cd 2.94

Computed properties:
* space-group type: I-42d
* energy relative to the lowest polymorph listed for this composition: 0 meV per atom
* final energy: -3.840 eV per atom
* formation energy: 2.3 eV/f.u.

---

Record 2
VASP calculation (PBE) on a geometry-optimized Sr4LiCu3 structure.

Lattice parameters (Å, degrees): 4.4699 4.5022 12.0516 90.00 90.00 90.00
Closest atoms and distances in Å follow each position.
Positions (direct):
Sr: 0.0000 0.0000 0.0000  2 Li 3.31, 5 Cu 3.33-3.51
Sr: 0.0000 0.5000 0.4780  6 Cu 3.18-3.32
Sr: 0.5000 0.0000 0.7043  4 Li 3.37, 3 Cu 3.40-3.70
Sr: 0.5000 0.5000 0.2100  7 Cu 3.19-3.54
Li: 0.0000 0.5000 0.7982  2 Cu 2.65
Cu: 0.0000 0.0000 0.2915  2 Cu 2.57
Cu: 0.5000 0.0000 0.3972  2 Cu 2.57
Cu: 0.5000 0.5000 0.9160  2 Li 2.65

Computed properties:
* space-group type: Pmm2
* final energy: -2.662 eV per atom
* formation energy: -0.4 eV/f.u.

---

Record 3
VASP calculation (PBE) on a geometry-optimized In4HgI4 structure.

Lattice parameters (Å, degrees): 8.8791 8.8791 8.8791 124.33 124.33 82.65
Closest atoms and distances in Å follow each position.
Positions (direct):
In: 0.1406 0.1406 0.5330  1 Hg 3.21, 4 I 3.28-3.58
In: 0.3924 0.8594 0.0000  1 Hg 3.21, 4 I 3.28-3.58
In: 0.6076 0.6076 0.4670  1 Hg 3.21, 4 I 3.28-3.58
In: 0.8594 0.3924 0.0000  1 Hg 3.21, 4 I 3.28-3.58
Hg: 0.5000 0.5000 0.0000  4 In 3.21
I: 0.0000 0.5000 0.5000  4 In 3.38
I: 0.2012 0.2012 0.0000  4 In 3.28-3.58
I: 0.5000 0.0000 0.5000  4 In 3.38
I: 0.7988 0.7988 0.0000  4 In 3.28-3.58

Computed properties:
* space-group type: I-42m
* final energy: -2.276 eV per atom
* formation energy without anion corrections: -0.34 eV/atom

---

Record 4
VASP calculation (PBE) on a geometry-optimized Mg2Sn2Pd7 structure.

Lattice parameters (Å, degrees): 6.5854 6.5854 4.7015 94.82 94.82 78.74
Closest atoms and distances in Å follow each position.
Positions (direct):
Mg: 0.2326 0.2326 0.2649  8 Pd 2.72-2.98
Mg: 0.7674 0.7674 0.7351  8 Pd 2.72-2.98
Sn: 0.2857 0.7143 0.5000  4 Pd 2.63-2.74
Sn: 0.7143 0.2857 0.5000  4 Pd 2.63-2.74
Pd: 0.0609 0.0609 0.7706  4 Pd 2.60-2.74, 2 Sn 2.74, 1 Mg 2.75
Pd: 0.1119 0.4630 0.7640  1 Sn 2.63, 3 Mg 2.72-2.88, 5 Pd 2.72-2.93
Pd: 0.4630 0.1119 0.7640  1 Sn 2.63, 3 Mg 2.72-2.88, 5 Pd 2.72-2.93
Pd: 0.5000 0.5000 0.0000  4 Pd 2.75, 4 Sn 2.96
Pd: 0.5370 0.8881 0.2360  1 Sn 2.63, 3 Mg 2.72-2.88, 5 Pd 2.72-2.93
Pd: 0.8881 0.5370 0.2360  1 Sn 2.63, 3 Mg 2.72-2.88, 5 Pd 2.72-2.93
Pd: 0.9391 0.9391 0.2294  4 Pd 2.60-2.74, 2 Sn 2.74, 1 Mg 2.75

Computed properties:
* space-group type: C2/m
* final energy: -4.713 eV per atom
* formation energy: -4.3 eV/f.u.

---

Record 5
VASP calculation (PBE) on a geometry-optimized NbRe2Si structure.

Lattice parameters (Å, degrees): 9.1368 9.1368 9.1368 17.98 17.98 17.98
Closest atoms and distances in Å follow each position.
Positions (direct):
Nb: 0.0000 0.0000 0.0000  2 Re 2.57, 6 Nb 2.86
Re: 0.0955 0.0955 0.0955  3 Si 2.53, 1 Nb 2.57
Re: 0.9045 0.9045 0.9045  3 Si 2.53, 1 Nb 2.57
Si: 0.5000 0.5000 0.5000  6 Re 2.53

Computed properties:
* space-group type: R-3m
* final energy: -9.661 eV per atom
* formation energy without anion corrections: 0.44 eV/atom

---

Record 6
VASP calculation (PBE) on a geometry-optimized AlAuSe structure.

Lattice parameters (Å, degrees): 4.5157 4.5157 4.5157 60.00 60.00 60.00
Closest atoms and distances in Å follow each position.
Positions (direct):
Al: 0.0000 0.0000 0.0000  4 Au 2.77
Au: 0.2500 0.2500 0.2500  4 Se 2.77, 4 Al 2.77
Se: 0.5000 0.5000 0.5000  4 Au 2.77

Computed properties:
* space-group type: F-43m
* energy relative to the lowest polymorph listed for this composition: 421 meV per atom
* final energy: -3.548 eV per atom
* formation energy without anion corrections: -0.05 eV/atom